Record 1
Ga7Pt3 | PBEsol | optimized geometry

Results
Calculated formation energy: -0.557 eV/atom
Mass density: 10.62 Mg/m³
Size of the total moment: 0.00 μB/f.u.
Symmetry: Im-3m

CIF file:
```
data_Ga7Pt3
_chemical_formula_sum 'Ga14 Pt6'
_cell_length_a 7.582
_cell_length_b 7.582
_cell_length_c 7.582
_cell_angle_alpha 109.47
_cell_angle_beta 109.47
_cell_angle_gamma 109.47
_symmetry_space_group_name_H-M 'P 1'
_symmetry_Int_Tables_number 1
loop_
_symmetry_equiv_pos_as_xyz
'x,y,z'
loop_
_atom_site_label
_atom_site_type_symbol
_atom_site_fract_x
_atom_site_fract_y
_atom_site_fract_z
Ga1 Ga 0.000 0.000 0.329
Ga2 Ga 0.000 0.000 0.671
Ga3 Ga 0.000 0.329 0.000
Ga4 Ga 0.000 0.671 0.000
Ga5 Ga 0.250 0.500 0.750
Ga6 Ga 0.250 0.750 0.500
Ga7 Ga 0.329 0.000 0.000
Ga8 Ga 0.329 0.329 0.329
Ga9 Ga 0.500 0.250 0.750
Ga10 Ga 0.500 0.750 0.250
Ga11 Ga 0.671 0.000 0.000
Ga12 Ga 0.671 0.671 0.671
Ga13 Ga 0.750 0.250 0.500
Ga14 Ga 0.750 0.500 0.250
Pt1 Pt 0.000 0.341 0.341
Pt2 Pt 0.000 0.659 0.659
Pt3 Pt 0.341 0.000 0.341
Pt4 Pt 0.341 0.341 0.000
Pt5 Pt 0.659 0.000 0.659
Pt6 Pt 0.659 0.659 0.000
```

Record 2
RbAg3C | PBEsol | optimized geometry

Results
Calculated formation energy: 2.807 eV/atom
Mass density: 3.64 Mg/m³
Size of the total moment: 1.51 μB/f.u.
Symmetry: Pm-3m

CIF file:
```
data_RbAg3C
_chemical_formula_sum 'Rb1 Ag3 C1'
_cell_length_a 5.768
_cell_length_b 5.768
_cell_length_c 5.768
_cell_angle_alpha 90.00
_cell_angle_beta 90.00
_cell_angle_gamma 90.00
_symmetry_space_group_name_H-M 'P 1'
_symmetry_Int_Tables_number 1
loop_
_symmetry_equiv_pos_as_xyz
'x,y,z'
loop_
_atom_site_label
_atom_site_type_symbol
_atom_site_fract_x
_atom_site_fract_y
_atom_site_fract_z
Rb1 Rb 0.000 0.000 0.000
Ag1 Ag 0.000 0.000 0.500
Ag2 Ag 0.000 0.500 0.000
Ag3 Ag 0.500 0.000 0.000
C1 C 0.500 0.500 0.500
```

Record 3
Be2TlSi2 | PBEsol | optimized geometry

Results
Mass density: 5.93 Mg/m³
Uncorrected formation energy: 334.0 meV per atom
Size of the total moment: 0.00 μB/f.u.
Symmetry: I4/mmm

CIF file:
```
data_Be2TlSi2
_chemical_formula_sum 'Be2 Tl1 Si2'
_cell_length_a 5.673
_cell_length_b 5.673
_cell_length_c 5.673
_cell_angle_alpha 138.92
_cell_angle_beta 138.92
_cell_angle_gamma 59.49
_symmetry_space_group_name_H-M 'P 1'
_symmetry_Int_Tables_number 1
loop_
_symmetry_equiv_pos_as_xyz
'x,y,z'
loop_
_atom_site_label
_atom_site_type_symbol
_atom_site_fract_x
_atom_site_fract_y
_atom_site_fract_z
Be1 Be 0.250 0.750 0.500
Be2 Be 0.750 0.250 0.500
Tl1 Tl 0.000 0.000 0.000
Si1 Si 0.377 0.377 0.000
Si2 Si 0.623 0.623 0.000
```

Record 4
CsMoS3 | PBEsol | optimized geometry

Results
Mass density: 4.99 Mg/m³
Uncorrected formation energy: -645.8 meV per atom
Size of the total moment: 0.00 μB/f.u.
Symmetry: Pm-3m

CIF file:
```
data_CsMoS3
_chemical_formula_sum 'Cs1 Mo1 S3'
_cell_length_a 4.766
_cell_length_b 4.766
_cell_length_c 4.766
_cell_angle_alpha 90.00
_cell_angle_beta 90.00
_cell_angle_gamma 90.00
_symmetry_space_group_name_H-M 'P 1'
_symmetry_Int_Tables_number 1
loop_
_symmetry_equiv_pos_as_xyz
'x,y,z'
loop_
_atom_site_label
_atom_site_type_symbol
_atom_site_fract_x
_atom_site_fract_y
_atom_site_fract_z
Cs1 Cs 0.000 0.000 0.000
Mo1 Mo 0.500 0.500 0.500
S1 S 0.000 0.500 0.500
S2 S 0.500 0.000 0.500
S3 S 0.500 0.500 0.000
```

Record 5
CdTc | PBEsol | optimized geometry

Results
Calculated formation energy: 0.313 eV/atom
Mass density: 10.43 Mg/m³
Size of the total moment: 0.00 μB/f.u.
Symmetry: Cmme

CIF file:
```
data_CdTc
_chemical_formula_sum 'Cd2 Tc2'
_cell_length_a 2.770
_cell_length_b 2.770
_cell_length_c 9.721
_cell_angle_alpha 90.00
_cell_angle_beta 90.00
_cell_angle_gamma 116.05
_symmetry_space_group_name_H-M 'P 1'
_symmetry_Int_Tables_number 1
loop_
_symmetry_equiv_pos_as_xyz
'x,y,z'
loop_
_atom_site_label
_atom_site_type_symbol
_atom_site_fract_x
_atom_site_fract_y
_atom_site_fract_z
Cd1 Cd 0.250 0.750 0.860
Cd2 Cd 0.750 0.250 0.140
Tc1 Tc 0.250 0.750 0.396
Tc2 Tc 0.750 0.250 0.604
```

Record 6
Ca2ReMo | PBEsol | optimized geometry

Results
Calculated formation energy: 0.822 eV/atom
Mass density: 7.95 Mg/m³
Size of the total moment: 0.00 μB/f.u.
Symmetry: Pmmm

CIF file:
```
data_Ca2ReMo
_chemical_formula_sum 'Ca2 Re1 Mo1'
_cell_length_a 3.681
_cell_length_b 4.061
_cell_length_c 5.059
_cell_angle_alpha 90.00
_cell_angle_beta 90.00
_cell_angle_gamma 90.00
_symmetry_space_group_name_H-M 'P 1'
_symmetry_Int_Tables_number 1
loop_
_symmetry_equiv_pos_as_xyz
'x,y,z'
loop_
_atom_site_label
_atom_site_type_symbol
_atom_site_fract_x
_atom_site_fract_y
_atom_site_fract_z
Ca1 Ca 0.000 0.000 0.000
Ca2 Ca 0.500 0.500 0.000
Re1 Re 0.000 0.500 0.500
Mo1 Mo 0.500 0.000 0.500
```

Record 7
LiAu2Se | PBEsol | optimized geometry

Results
Mass density: 11.43 Mg/m³
Uncorrected formation energy: -260.2 meV per atom
Size of the total moment: 0.00 μB/f.u.
Symmetry: C2/m

CIF file:
```
data_LiAu2Se
_chemical_formula_sum 'Li1 Au2 Se1'
_cell_length_a 5.827
_cell_length_b 5.827
_cell_length_c 2.904
_cell_angle_alpha 104.22
_cell_angle_beta 104.22
_cell_angle_gamma 123.97
_symmetry_space_group_name_H-M 'P 1'
_symmetry_Int_Tables_number 1
loop_
_symmetry_equiv_pos_as_xyz
'x,y,z'
loop_
_atom_site_label
_atom_site_type_symbol
_atom_site_fract_x
_atom_site_fract_y
_atom_site_fract_z
Li1 Li 0.000 0.000 0.000
Au1 Au 0.000 0.500 0.000
Au2 Au 0.500 0.000 0.000
Se1 Se 0.500 0.500 0.000
```

Record 8
BePH3O5 | PBEsol | optimized geometry

Results
Mass density: 2.23 Mg/m³
Size of the total moment: 0.00 μB/f.u.
Symmetry: Pna2_1
Energy: -0.47309 Ry/atom

CIF file:
```
data_BePH3O5
_chemical_formula_sum 'Be4 P4 H12 O20'
_cell_length_a 8.512
_cell_length_b 8.636
_cell_length_c 4.977
_cell_angle_alpha 90.00
_cell_angle_beta 90.00
_cell_angle_gamma 90.00
_symmetry_space_group_name_H-M 'P 1'
_symmetry_Int_Tables_number 1
loop_
_symmetry_equiv_pos_as_xyz
'x,y,z'
loop_
_atom_site_label
_atom_site_type_symbol
_atom_site_fract_x
_atom_site_fract_y
_atom_site_fract_z
Be1 Be 0.178 0.090 0.000
Be2 Be 0.322 0.590 0.500
Be3 Be 0.678 0.410 0.000
Be4 Be 0.822 0.910 0.500
P1 P 0.189 0.914 0.495
P2 P 0.311 0.414 0.995
P3 P 0.689 0.586 0.495
P4 P 0.811 0.086 0.995
H1 H 0.001 0.233 0.737
H2 H 0.104 0.389 0.643
H3 H 0.105 0.615 0.138
H4 H 0.395 0.115 0.638
H5 H 0.396 0.889 0.143
H6 H 0.499 0.733 0.237
H7 H 0.501 0.267 0.737
H8 H 0.604 0.111 0.643
H9 H 0.605 0.885 0.138
H10 H 0.895 0.385 0.638
H11 H 0.896 0.611 0.143
H12 H 0.999 0.767 0.237
O1 O 0.000 0.324 0.607
O2 O 0.000 0.676 0.107
O3 O 0.010 0.904 0.475
O4 O 0.239 0.260 0.067
O5 O 0.243 0.040 0.698
O6 O 0.249 0.464 0.712
O7 O 0.251 0.964 0.212
O8 O 0.257 0.540 0.198
O9 O 0.261 0.760 0.567
O10 O 0.490 0.404 0.975
O11 O 0.500 0.176 0.607
O12 O 0.500 0.824 0.107
O13 O 0.510 0.596 0.475
O14 O 0.739 0.240 0.067
O15 O 0.743 0.460 0.698
O16 O 0.749 0.036 0.712
O17 O 0.751 0.536 0.212
O18 O 0.757 0.960 0.198
O19 O 0.761 0.740 0.567
O20 O 0.990 0.096 0.975
```

Record 9
CrOs3 | PBEsol | optimized geometry

Results
Calculated formation energy: 0.011 eV/atom
Mass density: 19.33 Mg/m³
Size of the total moment: 0.00 μB/f.u.
Symmetry: Cmcm

CIF file:
```
data_CrOs3
_chemical_formula_sum 'Cr2 Os6'
_cell_length_a 5.382
_cell_length_b 5.382
_cell_length_c 4.265
_cell_angle_alpha 90.00
_cell_angle_beta 90.00
_cell_angle_gamma 119.99
_symmetry_space_group_name_H-M 'P 1'
_symmetry_Int_Tables_number 1
loop_
_symmetry_equiv_pos_as_xyz
'x,y,z'
loop_
_atom_site_label
_atom_site_type_symbol
_atom_site_fract_x
_atom_site_fract_y
_atom_site_fract_z
Cr1 Cr 0.080 0.920 0.750
Cr2 Cr 0.920 0.080 0.250
Os1 Os 0.080 0.408 0.750
Os2 Os 0.408 0.080 0.250
Os3 Os 0.417 0.583 0.250
Os4 Os 0.583 0.417 0.750
Os5 Os 0.592 0.920 0.750
Os6 Os 0.920 0.592 0.250
```

Record 10
CsTb2Ag3Te5 | PBEsol | optimized geometry

Results
Mass density: 7.15 Mg/m³
Uncorrected formation energy: -871.4 meV per atom
Size of the total moment: 0.00 μB/f.u.
Symmetry: Cmcm

CIF file:
```
data_CsTb2Ag3Te5
_chemical_formula_sum 'Cs2 Tb4 Ag6 Te10'
_cell_length_a 8.307
_cell_length_b 8.307
_cell_length_c 18.252
_cell_angle_alpha 90.00
_cell_angle_beta 90.00
_cell_angle_gamma 148.61
_symmetry_space_group_name_H-M 'P 1'
_symmetry_Int_Tables_number 1
loop_
_symmetry_equiv_pos_as_xyz
'x,y,z'
loop_
_atom_site_label
_atom_site_type_symbol
_atom_site_fract_x
_atom_site_fract_y
_atom_site_fract_z
Cs1 Cs 0.058 0.942 0.750
Cs2 Cs 0.942 0.058 0.250
Tb1 Tb 0.190 0.810 0.093
Tb2 Tb 0.190 0.810 0.407
Tb3 Tb 0.810 0.190 0.593
Tb4 Tb 0.810 0.190 0.907
Ag1 Ag 0.341 0.659 0.750
Ag2 Ag 0.413 0.587 0.031
Ag3 Ag 0.413 0.587 0.469
Ag4 Ag 0.587 0.413 0.531
Ag5 Ag 0.587 0.413 0.969
Ag6 Ag 0.659 0.341 0.250
Te1 Te 0.176 0.824 0.574
Te2 Te 0.176 0.824 0.926
Te3 Te 0.256 0.744 0.250
Te4 Te 0.440 0.560 0.620
Te5 Te 0.440 0.560 0.880
Te6 Te 0.560 0.440 0.120
Te7 Te 0.560 0.440 0.380
Te8 Te 0.744 0.256 0.750
Te9 Te 0.824 0.176 0.074
Te10 Te 0.824 0.176 0.426
```

Record 11
ZnCoSi | PBEsol | optimized geometry

Results
Mass density: 7.19 Mg/m³
Uncorrected formation energy: -242.0 meV per atom
Size of the total moment: 0.00 μB/f.u.
Symmetry: I4mm

CIF file:
```
data_ZnCoSi
_chemical_formula_sum 'Zn1 Co1 Si1'
_cell_length_a 4.547
_cell_length_b 4.547
_cell_length_c 4.547
_cell_angle_alpha 142.11
_cell_angle_beta 142.11
_cell_angle_gamma 54.66
_symmetry_space_group_name_H-M 'P 1'
_symmetry_Int_Tables_number 1
loop_
_symmetry_equiv_pos_as_xyz
'x,y,z'
loop_
_atom_site_label
_atom_site_type_symbol
_atom_site_fract_x
_atom_site_fract_y
_atom_site_fract_z
Zn1 Zn 0.000 0.000 0.000
Co1 Co 0.682 0.682 0.000
Si1 Si 0.311 0.311 0.000
```

Record 12
TaCdIn2 | PBEsol | optimized geometry

Results
Calculated formation energy: 0.239 eV/atom
Mass density: 10.63 Mg/m³
Size of the total moment: 0.00 μB/f.u.
Symmetry: C2/m

CIF file:
```
data_TaCdIn2
_chemical_formula_sum 'Ta1 Cd1 In2'
_cell_length_a 5.826
_cell_length_b 5.826
_cell_length_c 3.019
_cell_angle_alpha 104.55
_cell_angle_beta 104.55
_cell_angle_gamma 115.37
_symmetry_space_group_name_H-M 'P 1'
_symmetry_Int_Tables_number 1
loop_
_symmetry_equiv_pos_as_xyz
'x,y,z'
loop_
_atom_site_label
_atom_site_type_symbol
_atom_site_fract_x
_atom_site_fract_y
_atom_site_fract_z
Ta1 Ta 0.000 0.000 0.000
Cd1 Cd 0.500 0.500 0.000
In1 In 0.000 0.500 0.500
In2 In 0.500 0.000 0.500
```